[1]
# BaLaIn | Alexandria | PBE | relaxed
# Space-group type: P-3m1
# ΔH_f (0 K): -0.2631 eV per atom
# Final energy: -3.4593 eV/atom
data_BaLaIn
_chemical_formula_sum 'Ba2 La2 In2'
_cell_length_a 5.521
_cell_length_b 5.521
_cell_length_c 9.146
_cell_angle_alpha 90.01
_cell_angle_beta 89.99
_cell_angle_gamma 60.00
_symmetry_space_group_name_H-M 'P 1'
_symmetry_Int_Tables_number 1
_symmetry_space_group_name_Hall 'P 1'
loop_
_atom_site_label
_atom_site_fract_x
_atom_site_fract_y
_atom_site_fract_z
In1 0.000 0.500 0.829
In2 0.000 0.500 0.171
La1 0.667 0.167 0.917
La2 0.333 0.833 0.083
Ba1 0.333 0.833 0.636
Ba2 0.667 0.167 0.364


[2]
# Hf2CdTeO8 | Alexandria | PBE | relaxed
# Space-group type: Cmmm
# Formation energy from raw total energies: -2.257 eV per atom
# Final energy: -7.5591 eV/atom
data_Hf2CdTeO8
_chemical_formula_sum 'Hf2 Cd1 Te1 O8'
_cell_length_a 4.835
_cell_length_b 4.833
_cell_length_c 6.590
_cell_angle_alpha 90.00
_cell_angle_beta 90.00
_cell_angle_gamma 89.48
_symmetry_space_group_name_H-M 'P 1'
_symmetry_Int_Tables_number 1
_symmetry_space_group_name_Hall 'P 1'
loop_
_atom_site_label
_atom_site_fract_x
_atom_site_fract_y
_atom_site_fract_z
Te1 0.000 0.000 0.000
Hf1 0.500 0.500 0.744
Hf2 0.500 0.500 0.256
O1 0.803 0.198 0.212
O2 0.197 0.802 0.212
O3 0.197 0.802 0.788
O4 0.710 0.710 0.000
O5 0.803 0.198 0.788
O6 0.680 0.681 0.500
O7 0.290 0.290 0.000
O8 0.320 0.319 0.500
Cd1 0.000 0.000 0.500


[3]
# NdSi3IrRu | Alexandria | PBE | relaxed
# Space-group type: Cmcm
# Formation energy from raw total energies: -0.550 eV per atom
# Final energy: -7.0794 eV/atom
data_NdSi3IrRu
_chemical_formula_sum 'Nd2 Si6 Ir2 Ru2'
_cell_length_a 5.714
_cell_length_b 6.275
_cell_length_c 7.330
_cell_angle_alpha 115.34
_cell_angle_beta 90.00
_cell_angle_gamma 90.00
_symmetry_space_group_name_H-M 'P 1'
_symmetry_Int_Tables_number 1
_symmetry_space_group_name_Hall 'P 1'
loop_
_atom_site_label
_atom_site_fract_x
_atom_site_fract_y
_atom_site_fract_z
Ru1 0.250 0.058 0.116
Ru2 0.750 0.942 0.884
Si1 0.500 0.288 0.000
Si2 0.500 0.712 0.000
Si3 0.000 0.288 0.000
Si4 0.750 0.775 0.550
Si5 0.250 0.225 0.450
Si6 0.000 0.712 0.000
Nd1 0.750 0.198 0.396
Nd2 0.250 0.802 0.604
Ir1 0.250 0.394 0.788
Ir2 0.750 0.606 0.212


[4]
# TiMn3S | Alexandria | PBE | relaxed
# Space-group type: Pm-3m
# Formation energy from raw total energies: 1.735 eV per atom
# Final energy: -6.1711 eV/atom
data_TiMn3S
_chemical_formula_sum 'Ti1 Mn3 S1'
_cell_length_a 4.296
_cell_length_b 4.296
_cell_length_c 4.296
_cell_angle_alpha 90.00
_cell_angle_beta 90.00
_cell_angle_gamma 90.00
_symmetry_space_group_name_H-M 'P 1'
_symmetry_Int_Tables_number 1
_symmetry_space_group_name_Hall 'P 1'
loop_
_atom_site_label
_atom_site_fract_x
_atom_site_fract_y
_atom_site_fract_z
Mn1 0.500 0.000 0.000
Mn2 0.000 0.500 0.000
Mn3 0.000 0.000 0.500
S1 0.500 0.500 0.500
Ti1 0.000 0.000 0.000


[5]
# CaPm2TaO6 | Alexandria | PBE | relaxed
# Space-group type: P4mm
# Formation energy from raw total energies: -2.914 eV per atom
# Final energy: -8.2249 eV/atom
data_CaPm2TaO6
_chemical_formula_sum 'Ca1 Pm2 Ta1 O6'
_cell_length_a 5.354
_cell_length_b 5.413
_cell_length_c 5.413
_cell_angle_alpha 90.00
_cell_angle_beta 90.00
_cell_angle_gamma 90.00
_symmetry_space_group_name_H-M 'P 1'
_symmetry_Int_Tables_number 1
_symmetry_space_group_name_Hall 'P 1'
loop_
_atom_site_label
_atom_site_fract_x
_atom_site_fract_y
_atom_site_fract_z
O1 0.229 0.000 0.000
O2 0.740 0.234 0.766
O3 0.740 0.234 0.234
O4 0.740 0.766 0.766
O5 0.740 0.766 0.234
O6 0.133 0.500 0.500
Ta1 0.585 0.000 0.000
Pm1 0.996 0.000 0.500
Pm2 0.996 0.500 0.000
Ca1 0.547 0.500 0.500


[6]
# ZrNbSi2 | Alexandria | PBE | relaxed
# Space-group type: Fm-3m
# Formation energy from raw total energies: -0.267 eV per atom
# Final energy: -7.6326 eV/atom
data_ZrNbSi2
_chemical_formula_sum 'Zr1 Nb1 Si2'
_cell_length_a 4.574
_cell_length_b 4.574
_cell_length_c 4.574
_cell_angle_alpha 60.00
_cell_angle_beta 60.00
_cell_angle_gamma 60.00
_symmetry_space_group_name_H-M 'P 1'
_symmetry_Int_Tables_number 1
_symmetry_space_group_name_Hall 'P 1'
loop_
_atom_site_label
_atom_site_fract_x
_atom_site_fract_y
_atom_site_fract_z
Zr1 0.000 0.000 0.000
Si1 0.250 0.250 0.250
Si2 0.750 0.750 0.750
Nb1 0.500 0.500 0.500


[7]
# Ag2RuRh | Alexandria | PBE | relaxed
# Space-group type: R3m
# ΔH_f (0 K): 0.2221 eV per atom
# Final energy: -5.3603 eV/atom
data_Ag2RuRh
_chemical_formula_sum 'Ag2 Ru1 Rh1'
_cell_length_a 9.508
_cell_length_b 9.508
_cell_length_c 9.508
_cell_angle_alpha 16.89
_cell_angle_beta 16.89
_cell_angle_gamma 16.89
_symmetry_space_group_name_H-M 'P 1'
_symmetry_Int_Tables_number 1
_symmetry_space_group_name_Hall 'P 1'
loop_
_atom_site_label
_atom_site_fract_x
_atom_site_fract_y
_atom_site_fract_z
Ag1 0.003 0.003 0.003
Ag2 0.247 0.247 0.247
Rh1 0.495 0.495 0.495
Ru1 0.755 0.755 0.755


[8]
# FeNi4Pt5 | Alexandria | PBE | relaxed
# Space-group type: P4/mmm
# ΔH_f (0 K): -0.1416 eV per atom
# Final energy: -6.3208 eV/atom
data_FeNi4Pt5
_chemical_formula_sum 'Fe1 Ni4 Pt5'
_cell_length_a 2.714
_cell_length_b 2.714
_cell_length_c 18.421
_cell_angle_alpha 90.00
_cell_angle_beta 90.00
_cell_angle_gamma 90.00
_symmetry_space_group_name_H-M 'P 1'
_symmetry_Int_Tables_number 1
_symmetry_space_group_name_Hall 'P 1'
loop_
_atom_site_label
_atom_site_fract_x
_atom_site_fract_y
_atom_site_fract_z
Pt1 0.500 0.500 0.302
Pt2 0.500 0.500 0.698
Pt3 0.500 0.500 0.101
Pt4 0.500 0.500 0.899
Pt5 0.500 0.500 0.500
Ni1 0.000 0.000 0.203
Ni2 0.000 0.000 0.797
Ni3 0.000 0.000 0.599
Ni4 0.000 0.000 0.401
Fe1 0.000 0.000 0.000


[9]
# MnSnP3 | Alexandria | PBE | relaxed
# Space-group type: Pm-3m
# ΔH_f (0 K): 0.4173 eV per atom
# Final energy: -5.4631 eV/atom
data_MnSnP3
_chemical_formula_sum 'Mn1 Sn1 P3'
_cell_length_a 4.469
_cell_length_b 4.469
_cell_length_c 4.469
_cell_angle_alpha 90.00
_cell_angle_beta 90.00
_cell_angle_gamma 90.00
_symmetry_space_group_name_H-M 'P 1'
_symmetry_Int_Tables_number 1
_symmetry_space_group_name_Hall 'P 1'
loop_
_atom_site_label
_atom_site_fract_x
_atom_site_fract_y
_atom_site_fract_z
P1 0.000 0.000 0.500
P2 0.500 0.000 0.000
P3 0.000 0.500 0.000
Mn1 0.000 0.000 0.000
Sn1 0.500 0.500 0.500


[10]
# KBa2Bi | Alexandria | PBE | relaxed
# Space-group type: R-3m
# ΔH_f (0 K): -0.4812 eV per atom
# Final energy: -2.6872 eV/atom
data_KBa2Bi
_chemical_formula_sum 'K1 Ba2 Bi1'
_cell_length_a 5.139
_cell_length_b 5.139
_cell_length_c 11.761
_cell_angle_alpha 77.38
_cell_angle_beta 77.38
_cell_angle_gamma 60.00
_symmetry_space_group_name_H-M 'P 1'
_symmetry_Int_Tables_number 1
_symmetry_space_group_name_Hall 'P 1'
loop_
_atom_site_label
_atom_site_fract_x
_atom_site_fract_y
_atom_site_fract_z
Ba1 0.721 0.721 0.836
Ba2 0.279 0.279 0.164
Bi1 0.000 0.000 0.000
K1 0.500 0.500 0.500